#A
YB4Mo (PBE, optimized geometry); spin magnetization = 0.0 Bohr magnetons per cell; SG = No. 55
1.0
6.032 0.000 0.000
0.000 11.655 0.000
0.000 0.000 3.622
Y B Mo
4 16 4
Direct
0.127 0.150 0.000
0.373 0.650 0.000
0.627 0.350 0.000
0.873 0.850 0.000
0.025 0.693 0.500
0.114 0.547 0.500
0.133 0.968 0.500
0.214 0.814 0.500
0.286 0.314 0.500
0.367 0.468 0.500
0.386 0.047 0.500
0.475 0.193 0.500
0.525 0.807 0.500
0.614 0.953 0.500
0.633 0.532 0.500
0.714 0.686 0.500
0.786 0.186 0.500
0.867 0.032 0.500
0.886 0.453 0.500
0.975 0.307 0.500
0.130 0.416 0.000
0.370 0.916 0.000
0.630 0.084 0.000
0.870 0.584 0.000

#B
YB4Mo (PBE, optimized geometry); spin magnetization = 0.0 Bohr magnetons per cell; SG = No. 191
1.0
3.134 0.000 0.000
-1.567 2.714 0.000
0.000 0.000 7.138
Y B Mo
1 4 1
Direct
0.000 0.000 0.000
0.333 0.667 0.274
0.333 0.667 0.726
0.667 0.333 0.274
0.667 0.333 0.726
0.000 0.000 0.500

Energy ordering: #A at the bottom, the next structure 0.105 eV/atom above.

#A
ZrBMo (PBE, optimized geometry); spin magnetization = 0.9 Bohr magnetons per cell; SG = No. 216
1.0
0.000 2.998 2.998
2.998 0.000 2.998
2.998 2.998 0.000
Zr B Mo
1 1 1
Direct
0.000 0.000 0.000
0.750 0.750 0.750
0.250 0.250 0.250

#B
ZrBMo (PBE, optimized geometry); spin magnetization = 0.2 Bohr magnetons per cell; SG = No. 216
1.0
0.000 2.954 2.954
2.954 0.000 2.954
2.954 2.954 0.000
Zr B Mo
1 1 1
Direct
0.000 0.000 0.000
0.500 0.500 0.500
0.750 0.750 0.750

Energy ordering: #B at the bottom, the next structure 0.350 eV/atom above.

#A
BOsNO (PBE, optimized geometry); spin magnetization = 0.0 Bohr magnetons per cell; SG = No. 29
1.0
4.900 0.000 0.000
0.000 6.051 0.000
0.000 0.000 4.575
B Os N O
4 4 4 4
Direct
0.145 0.044 0.000
0.355 0.044 0.500
0.645 0.956 0.000
0.855 0.956 0.500
0.112 0.594 0.157
0.388 0.594 0.657
0.612 0.406 0.157
0.888 0.406 0.657
0.120 0.937 0.313
0.380 0.937 0.813
0.620 0.063 0.313
0.880 0.063 0.813
0.242 0.277 0.089
0.258 0.277 0.589
0.742 0.723 0.089
0.758 0.723 0.589

#B
BOsNO (PBE, optimized geometry); spin magnetization = 0.0 Bohr magnetons per cell; SG = No. 26
1.0
2.611 0.000 0.000
0.000 5.759 0.000
0.000 0.000 4.596
B Os N O
2 2 2 2
Direct
0.000 0.122 0.000
0.000 0.878 0.500
0.500 0.411 0.516
0.500 0.589 0.016
0.500 0.249 0.920
0.500 0.751 0.420
0.000 0.101 0.339
0.000 0.899 0.839

#C
BOsNO (PBE, optimized geometry); spin magnetization = 0.0 Bohr magnetons per cell; SG = No. 26
1.0
2.656 0.000 0.000
0.000 5.608 0.000
0.000 0.000 4.596
B Os N O
2 2 2 2
Direct
0.000 0.102 0.000
0.000 0.898 0.500
0.500 0.398 0.541
0.500 0.602 0.041
0.000 0.132 0.663
0.000 0.868 0.163
0.500 0.223 0.108
0.500 0.777 0.608

#D
BOsNO (PBE, optimized geometry); spin magnetization = 0.0 Bohr magnetons per cell; SG = No. 129
1.0
3.153 0.000 0.000
0.000 3.153 0.000
0.000 0.000 7.682
B Os N O
2 2 2 2
Direct
0.250 0.750 0.000
0.750 0.250 0.000
0.250 0.250 0.322
0.750 0.750 0.678
0.250 0.250 0.054
0.750 0.750 0.946
0.250 0.750 0.500
0.750 0.250 0.500

Energy ordering: #B at the bottom, the next structure 0.151 eV/atom above.

#A
PaBNO (PBE, optimized geometry); spin magnetization = 0.0 Bohr magnetons per cell; SG = No. 129
1.0
3.694 0.000 0.000
0.000 3.694 0.000
0.000 0.000 6.854
Pa B N O
2 2 2 2
Direct
0.250 0.250 0.211
0.750 0.750 0.789
0.250 0.750 0.500
0.750 0.250 0.500
0.250 0.250 0.533
0.750 0.750 0.467
0.250 0.750 0.000
0.750 0.250 0.000

#B
PaBNO (PBE, optimized geometry); spin magnetization = 2.0 Bohr magnetons per cell; SG = No. 26
1.0
3.078 0.000 0.000
0.000 5.533 0.000
0.000 0.000 5.314
Pa B N O
2 2 2 2
Direct
0.000 0.236 0.000
0.000 0.764 0.500
0.500 0.212 0.444
0.500 0.788 0.944
0.000 0.183 0.556
0.000 0.817 0.056
0.500 0.440 0.298
0.500 0.560 0.798

Energy ordering: #B at the bottom, the next structure 0.346 eV/atom above.

#A
PaBNO (PBE, optimized geometry); spin magnetization = 0.0 Bohr magnetons per cell; SG = No. 129
1.0
4.788 0.000 0.000
0.000 4.788 0.000
0.000 0.000 4.340
Pa B N O
2 2 2 2
Direct
0.250 0.750 0.000
0.750 0.250 0.000
0.250 0.250 0.483
0.750 0.750 0.517
0.250 0.250 0.802
0.750 0.750 0.198
0.250 0.750 0.500
0.750 0.250 0.500

#B
PaBNO (PBE, optimized geometry); spin magnetization = 2.1 Bohr magnetons per cell; SG = No. 26
1.0
3.622 0.000 0.000
0.000 4.883 0.000
0.000 0.000 5.050
Pa B N O
2 2 2 2
Direct
0.000 0.235 0.000
0.000 0.765 0.500
0.500 0.317 0.499
0.500 0.683 0.999
0.500 0.498 0.750
0.500 0.502 0.250
0.000 0.241 0.500
0.000 0.759 0.000

Energy ordering: #B at the bottom, the next structure 0.226 eV/atom above.

#A
PmBNO (PBE, optimized geometry); spin magnetization = 0.0 Bohr magnetons per cell; SG = No. 57
1.0
7.412 0.000 0.000
0.000 5.312 0.000
0.000 0.000 5.270
Pm B N O
4 4 4 4
Direct
0.154 0.006 0.250
0.154 0.494 0.750
0.846 0.506 0.250
0.846 0.994 0.750
0.371 0.524 0.250
0.371 0.976 0.750
0.629 0.024 0.250
0.629 0.476 0.750
0.188 0.506 0.250
0.188 0.994 0.750
0.812 0.006 0.250
0.812 0.494 0.750
0.461 0.065 0.250
0.461 0.435 0.750
0.539 0.565 0.250
0.539 0.935 0.750

#B
PmBNO (PBE, optimized geometry); spin magnetization = 0.0 Bohr magnetons per cell; SG = No. 129
1.0
3.635 0.000 0.000
0.000 3.635 0.000
0.000 0.000 7.324
Pm B N O
2 2 2 2
Direct
0.250 0.250 0.178
0.750 0.750 0.822
0.250 0.750 0.500
0.750 0.250 0.500
0.250 0.250 0.519
0.750 0.750 0.481
0.250 0.750 0.000
0.750 0.250 0.000

Energy ordering: #A at the bottom, the next structure 0.629 eV/atom above.

#A
PmBNO (PBE, optimized geometry); spin magnetization = 0.0 Bohr magnetons per cell; SG = No. 26
1.0
3.590 0.000 0.000
0.000 5.187 0.000
0.000 0.000 4.946
Pm B N O
2 2 2 2
Direct
0.000 0.240 0.000
0.000 0.760 0.500
0.500 0.349 0.498
0.500 0.651 0.998
0.500 0.497 0.750
0.500 0.503 0.250
0.000 0.203 0.499
0.000 0.797 0.999

#B
PmBNO (PBE, optimized geometry); spin magnetization = 0.0 Bohr magnetons per cell; SG = No. 26
1.0
2.830 0.000 0.000
0.000 5.854 0.000
0.000 0.000 5.486
Pm B N O
2 2 2 2
Direct
0.000 0.241 0.000
0.000 0.759 0.500
0.500 0.266 0.485
0.500 0.734 0.985
0.000 0.347 0.562
0.000 0.653 0.062
0.500 0.074 0.324
0.500 0.926 0.824

#C
PmBNO (PBE, optimized geometry); spin magnetization = 1.5 Bohr magnetons per cell; SG = No. 129
1.0
4.924 0.000 0.000
0.000 4.924 0.000
0.000 0.000 4.547
Pm B N O
2 2 2 2
Direct
0.250 0.750 0.000
0.750 0.250 0.000
0.250 0.250 0.404
0.750 0.750 0.596
0.250 0.250 0.107
0.750 0.750 0.893
0.250 0.750 0.500
0.750 0.250 0.500

Energy ordering: #B at the bottom, the next structure 0.134 eV/atom above.

#A
BPtNO (PBE, optimized geometry); spin magnetization = 0.6 Bohr magnetons per cell; SG = No. 129
1.0
3.514 0.000 0.000
0.000 3.514 0.000
0.000 0.000 6.787
B Pt N O
2 2 2 2
Direct
0.250 0.250 0.085
0.750 0.750 0.915
0.250 0.750 0.500
0.750 0.250 0.500
0.250 0.250 0.299
0.750 0.750 0.701
0.250 0.750 0.000
0.750 0.250 0.000

#B
BPtNO (PBE, optimized geometry); spin magnetization = 2.1 Bohr magnetons per cell; SG = No. 129
1.0
3.272 0.000 0.000
0.000 3.272 0.000
0.000 0.000 7.642
B Pt N O
2 2 2 2
Direct
0.250 0.750 0.000
0.750 0.250 0.000
0.250 0.250 0.314
0.750 0.750 0.686
0.250 0.250 0.041
0.750 0.750 0.959
0.250 0.750 0.500
0.750 0.250 0.500

#C
BPtNO (PBE, optimized geometry); spin magnetization = 0.0 Bohr magnetons per cell; SG = No. 26
1.0
2.616 0.000 0.000
0.000 5.640 0.000
0.000 0.000 4.997
B Pt N O
2 2 2 2
Direct
0.000 0.101 0.000
0.000 0.899 0.500
0.500 0.388 0.582
0.500 0.612 0.082
0.000 0.125 0.674
0.000 0.875 0.174
0.500 0.214 0.084
0.500 0.786 0.584

Energy ordering: #C at the bottom, the next structure 0.832 eV/atom above.

#A
ReBNO (PBE, optimized geometry); spin magnetization = 0.0 Bohr magnetons per cell; SG = No. 29
1.0
5.260 0.000 0.000
0.000 6.857 0.000
0.000 0.000 4.559
Re B N O
4 4 4 4
Direct
0.107 0.051 0.000
0.393 0.051 0.500
0.607 0.949 0.000
0.893 0.949 0.500
0.017 0.406 0.539
0.483 0.406 0.039
0.517 0.594 0.539
0.983 0.594 0.039
0.066 0.209 0.628
0.434 0.209 0.128
0.566 0.791 0.628
0.934 0.791 0.128
0.015 0.560 0.738
0.485 0.560 0.238
0.515 0.440 0.738
0.985 0.440 0.238

#B
ReBNO (PBE, optimized geometry); spin magnetization = 0.0 Bohr magnetons per cell; SG = No. 129
1.0
3.505 0.000 0.000
0.000 3.505 0.000
0.000 0.000 6.116
Re B N O
2 2 2 2
Direct
0.250 0.750 0.000
0.750 0.250 0.000
0.250 0.250 0.427
0.750 0.750 0.573
0.250 0.250 0.189
0.750 0.750 0.811
0.250 0.750 0.500
0.750 0.250 0.500

Energy ordering: #A at the bottom, the next structure 0.912 eV/atom above.